Entry 1:
VASP calculation (SCAN) on RhC2 at its PBEsol-relaxed geometry.

a = 4.7042 Å, b = 4.7042 Å, c = 4.7042 Å
α = 135.39°, β = 135.39°, γ = 64.92°
Last column: nearest neighbours and their distance in Å.
Positions (direct):
Rh: 0.3750 0.6250 0.7500  4 C 2.16
Rh: 0.6250 0.3750 0.2500  4 C 2.16
C: 0.0290 0.7790 0.2500  1 C 1.52
C: 0.2210 0.9710 0.2500  1 C 1.52
C: 0.7790 0.0290 0.7500  1 C 1.52
C: 0.9710 0.2210 0.7500  1 C 1.52

Computed properties:
For the energy of formation from the pure elements, the calculation gives 36.902 kcal/mol of atoms. The crystal system is tetragonal. The value obtained for the distance to the lowest polymorph of the same formula is 1.135 eV per atom. The space group is I4_1/amd.

=====

Entry 2:
VASP calculation (SCAN) on ZrAs at its PBEsol-relaxed geometry.

a = 3.8222 Å, b = 3.8222 Å, c = 3.8222 Å
α = 60.00°, β = 60.00°, γ = 60.00°
Last column: nearest neighbours and their distance in Å.
Positions (direct):
Zr: 0.0000 0.0000 0.0000  6 As 2.70
As: 0.5000 0.5000 0.5000  6 Zr 2.70

Computed properties:
For the energy of formation from the pure elements, the calculation gives -27.999 kcal/mol of atoms. The crystal system is cubic. The space group is Fm-3m.

=====

Entry 3:
VASP calculation (SCAN) on Cd2InHg at its PBEsol-relaxed geometry.

a = 6.2922 Å, b = 6.2922 Å, c = 3.1796 Å
α = 102.48°, β = 102.48°, γ = 125.10°
Last column: nearest neighbours and their distance in Å.
Positions (direct):
Cd: 0.0000 0.5000 0.0000  6 Cd 2.90-3.18, 2 In 3.15, 2 Hg 3.15
Cd: 0.5000 0.0000 0.0000  6 Cd 2.90-3.18, 2 In 3.15, 2 Hg 3.15
In: 0.0000 0.0000 0.0000  4 Hg 2.90-3.14, 4 Cd 3.15, 2 In 3.18
Hg: 0.5000 0.5000 0.0000  4 In 2.90-3.14, 4 Cd 3.15, 2 Hg 3.18

Computed properties:
For the energy of formation from the pure elements, the calculation gives 0.832 kcal/mol of atoms. The crystal system is monoclinic. The value obtained for the distance to the lowest polymorph of the same formula is 0.019 eV per atom. The space group is C2/m.

=====

Entry 4:
VASP calculation (SCAN) on CsNaP2Cl at its PBEsol-relaxed geometry.

a = 6.4990 Å, b = 6.4990 Å, c = 6.2850 Å
α = 90.00°, β = 90.00°, γ = 90.00°
Last column: nearest neighbours and their distance in Å.
Positions (direct):
Cs: 0.0000 0.0000 0.0000  2 Cl 3.14, 4 P 3.25
Na: 0.5000 0.5000 0.5000  8 P 4.52, 4 Cl 4.60
P: 0.0000 0.5000 0.0000  2 Cs 3.25
P: 0.5000 0.0000 0.0000  2 Cs 3.25
Cl: 0.0000 0.0000 0.5000  2 Cs 3.14

Computed properties:
The value obtained for the uncorrected formation energy is 54 kJ per mole of atoms. The crystal system is tetragonal. The space group is P4/mmm.

=====

Entry 5:
VASP calculation (SCAN) on KPb4 at its PBEsol-relaxed geometry.

a = 6.3740 Å, b = 6.3740 Å, c = 6.3740 Å
α = 96.90°, β = 96.90°, γ = 139.43°
Last column: nearest neighbours and their distance in Å.
Positions (direct):
K: 0.0000 0.0000 0.0000  12 Pb 3.58-3.77
Pb: 0.1799 0.5926 0.7725  7 Pb 3.28-3.66, 2 K 3.58
Pb: 0.4074 0.1799 0.5872  7 Pb 3.28-3.66, 2 K 3.58
Pb: 0.5926 0.8201 0.4128  7 Pb 3.28-3.66, 2 K 3.58
Pb: 0.8201 0.4074 0.2275  7 Pb 3.28-3.66, 2 K 3.58

Computed properties:
For the energy of formation from the pure elements, the calculation gives -3.811 kcal/mol of atoms. The crystal system is tetragonal. The space group is I4/m.

=====

Entry 6:
VASP calculation (SCAN) on BaBe2Tl at its PBEsol-relaxed geometry.

a = 3.5375 Å, b = 3.5375 Å, c = 7.1679 Å
α = 90.00°, β = 90.00°, γ = 91.90°
Last column: nearest neighbours and their distance in Å.
Positions (direct):
Ba: 0.0000 0.0000 0.0000  8 Be 3.45-3.51, 4 Ba 3.54, 2 Tl 3.58
Be: 0.5000 0.5000 0.3379  1 Be 2.32
Be: 0.5000 0.5000 0.6621  1 Be 2.32
Tl: 0.0000 0.0000 0.5000  8 Be 2.72-2.80

Computed properties:
For the energy of formation from the pure elements, the calculation gives 12.262 kcal/mol of atoms. The crystal system is orthorhombic. The value obtained for the distance to the lowest polymorph of the same formula is 0.006 eV per atom. The space group is Cmmm.

=====

Entry 7:
VASP calculation (SCAN) on Li2CaN2 at its PBEsol-relaxed geometry.

a = 6.2264 Å, b = 6.2264 Å, c = 2.4238 Å
α = 90.00°, β = 90.00°, γ = 90.00°
Last column: nearest neighbours and their distance in Å.
Positions (direct):
Li: 0.1138 0.3862 0.0000  1 Li 2.00, 2 N 2.17
Li: 0.3862 0.8862 0.0000  1 Li 2.00, 2 N 2.17
Li: 0.6138 0.1138 0.0000  1 Li 2.00, 2 N 2.17
Li: 0.8862 0.6138 0.0000  1 Li 2.00, 2 N 2.17
Ca: 0.0000 0.0000 0.0000  2 Ca 2.42, 4 Li 2.51, 8 N 2.58
Ca: 0.5000 0.5000 0.0000  2 Ca 2.42, 4 Li 2.51, 8 N 2.58
N: 0.1825 0.6825 0.5000  6 Li 2.17-2.25, 2 N 2.42
N: 0.3175 0.1825 0.5000  6 Li 2.17-2.25, 2 N 2.42
N: 0.6825 0.8175 0.5000  6 Li 2.17-2.25, 2 N 2.42
N: 0.8175 0.3175 0.5000  6 Li 2.17-2.25, 2 N 2.42

Computed properties:
The value obtained for the uncorrected formation energy is -5 kJ per mole of atoms. The crystal system is tetragonal. The space group is P4/mbm.

=====

Entry 8:
VASP calculation (SCAN) on BaSr2F at its PBEsol-relaxed geometry.

a = 7.9329 Å, b = 7.9329 Å, c = 7.9329 Å
α = 60.00°, β = 60.00°, γ = 60.00°
Last column: nearest neighbours and their distance in Å.
Positions (direct):
Ba: 0.1250 0.1250 0.1250  12 Sr 4.65, 4 Ba 4.86, 4 F 4.86
Ba: 0.8750 0.8750 0.8750  12 Sr 4.65, 4 Ba 4.86, 4 F 4.86
Sr: 0.0000 0.5000 0.5000  2 F 2.43
Sr: 0.5000 0.0000 0.5000  2 F 2.43
Sr: 0.5000 0.5000 0.0000  2 F 2.43
Sr: 0.5000 0.5000 0.5000  2 F 2.43
F: 0.3750 0.3750 0.3750  4 Sr 2.43
F: 0.6250 0.6250 0.6250  4 Sr 2.43

Computed properties:
The value obtained for the uncorrected formation energy is -147 kJ per mole of atoms. The crystal system is cubic. The value obtained for the distance to the lowest polymorph of the same formula is 0.000 eV per atom. The space group is Fd-3m.

=====

Entry 9:
VASP calculation (SCAN) on ZnSe3 at its PBEsol-relaxed geometry.

a = 7.8081 Å, b = 7.8081 Å, c = 7.8081 Å
α = 153.84°, β = 153.52°, γ = 37.56°
Last column: nearest neighbours and their distance in Å.
Positions (direct):
Zn: 0.0000 0.0000 0.0000  4 Se 2.51
Se: 0.2250 0.7250 0.5000  4 Se 2.62
Se: 0.5000 0.5000 0.0000  4 Zn 2.51
Se: 0.7750 0.2750 0.5000  4 Se 2.62

Computed properties:
The value obtained for the uncorrected formation energy is 1 kJ per mole of atoms. The crystal system is orthorhombic. The space group is Immm.

=====

Entry 10:
VASP calculation (SCAN) on CdAsIr2 at its PBEsol-relaxed geometry.

a = 4.2235 Å, b = 4.2235 Å, c = 3.4818 Å
α = 90.00°, β = 90.00°, γ = 90.00°
Last column: nearest neighbours and their distance in Å.
Positions (direct):
Cd: 0.0000 0.0000 0.0000  8 Ir 2.74, 4 As 2.99
As: 0.5000 0.5000 0.0000  8 Ir 2.74, 4 Cd 2.99
Ir: 0.0000 0.5000 0.5000  4 Cd 2.74, 4 As 2.74, 4 Ir 2.99
Ir: 0.5000 0.0000 0.5000  4 Cd 2.74, 4 As 2.74, 4 Ir 2.99

Computed properties:
For the energy of formation from the pure elements, the calculation gives 7.535 kcal/mol of atoms. The crystal system is tetragonal. The value obtained for the distance to the lowest polymorph of the same formula is 0.168 eV per atom. The space group is P4/mmm.

=====

Entry 11:
VASP calculation (SCAN) on Re3RhPb at its PBEsol-relaxed geometry.

a = 4.7980 Å, b = 4.7980 Å, c = 4.7980 Å
α = 90.00°, β = 90.00°, γ = 90.00°
Last column: nearest neighbours and their distance in Å.
Positions (direct):
Re: 0.0000 0.0000 0.5000  2 Pb 2.40
Re: 0.0000 0.5000 0.0000  2 Pb 2.40
Re: 0.5000 0.0000 0.0000  2 Pb 2.40
Rh: 0.5000 0.5000 0.5000  12 Re 3.39
Pb: 0.0000 0.0000 0.0000  6 Re 2.40

Computed properties:
For the energy of formation from the pure elements, the calculation gives 86.194 kcal/mol of atoms. The crystal system is cubic. The space group is Pm-3m.

=====

Entry 12:
VASP calculation (SCAN) on CuSnH12N2O6 at its PBEsol-relaxed geometry.

a = 4.7828 Å, b = 5.4076 Å, c = 6.7760 Å
α = 108.89°, β = 93.10°, γ = 92.90°
Last column: nearest neighbours and their distance in Å.
Positions (direct):
Cu: 0.0000 0.0000 0.0000  2 N 1.97, 2 O 1.97
Sn: 0.0000 0.0000 0.5000  6 O 2.06-2.11
H: 0.1939 0.4873 0.1326  1 N 1.04
H: 0.2486 0.6336 0.6175  1 O 1.02
H: 0.2905 0.3249 0.8957  1 N 1.05
H: 0.3963 0.0017 0.2625  1 O 1.01
H: 0.4361 0.2919 0.5556  1 O 1.01
H: 0.4526 0.2926 0.1120  1 N 1.03
H: 0.5474 0.7074 0.8880  1 N 1.03
H: 0.5639 0.7081 0.4444  1 O 1.01
H: 0.6037 0.9983 0.7375  1 O 1.01
H: 0.7095 0.6751 0.1043  1 N 1.05
H: 0.7514 0.3664 0.3825  1 O 1.02
H: 0.8061 0.5127 0.8674  1 N 1.04
N: 0.2604 0.3090 0.0431  3 H 1.03-1.05
N: 0.7396 0.6910 0.9569  3 H 1.03-1.05
O: 0.2057 0.9020 0.2204  1 H 1.01
O: 0.2571 0.3386 0.6260  1 H 1.01
O: 0.3044 0.8198 0.6222  1 H 1.02
O: 0.6956 0.1802 0.3778  1 H 1.02
O: 0.7429 0.6614 0.3740  1 H 1.01
O: 0.7943 0.0980 0.7796  1 H 1.01

Computed properties:
The crystal system is triclinic. The calculation puts the energy at -168.28 eV per cell. The space group is P-1.

=====

no.,density of states at the Fermi level (states/eV/f.u.),M_tot (μB per formula unit),ρ (Mg/m³)
1,1.34,0.00,8.33
2,0.83,0.00,6.99
3,1.40,0.00,9.86
4,1.57,5.00,1.58
5,2.37,0.00,9.12
6,2.57,0.00,6.66
7,1.13,0.00,2.90
8,1.94,0.00,3.12
9,1.25,0.00,5.37
10,1.93,0.00,15.29
11,7.75,0.73,13.06
12,0.00,1.00,3.20